Record 1
Material: Al2Zn8Pd
Method: DFT, PBE
State: optimized geometry

a b c (Å): 6.8760 6.8760 4.4752
angles (deg): 99.91 99.91 63.35
Element x y z (fractional)
Al1 0.1194 0.1194 0.0416
Al2 0.8806 0.8806 0.9584
Zn1 0.2332 0.2332 0.5983
Zn2 0.2520 0.6182 0.7087
Zn3 0.3518 0.3518 0.1544
Zn4 0.3818 0.7480 0.2913
Zn5 0.6182 0.2520 0.7087
Zn6 0.6482 0.6482 0.8456
Zn7 0.7480 0.3818 0.2913
Zn8 0.7668 0.7668 0.4017
Pd1 0.0000 0.0000 0.5000

Output
Space group: C2/m
ΔH_f (0 K) (kcal/mol of atoms): -1.127
Crystal system: monoclinic
Energy (eV/atom): -2.128

Record 2
Material: AlZn6Pd12
Method: DFT, PBE
State: optimized geometry

a b c (Å): 6.9713 6.9713 6.9713
angles (deg): 101.94 101.94 101.94
Element x y z (fractional)
Al1 0.0000 0.0000 0.0000
Zn1 0.1805 0.4634 0.2692
Zn2 0.2692 0.1805 0.4634
Zn3 0.4634 0.2692 0.1805
Zn4 0.5366 0.7308 0.8195
Zn5 0.7308 0.8195 0.5366
Zn6 0.8195 0.5366 0.7308
Pd1 0.0210 0.1360 0.6894
Pd2 0.1360 0.6894 0.0210
Pd3 0.1730 0.5122 0.6415
Pd4 0.3106 0.9790 0.8640
Pd5 0.3585 0.8270 0.4878
Pd6 0.4878 0.3585 0.8270
Pd7 0.5122 0.6415 0.1730
Pd8 0.6415 0.1730 0.5122
Pd9 0.6894 0.0210 0.1360
Pd10 0.8270 0.4878 0.3585
Pd11 0.8640 0.3106 0.9790
Pd12 0.9790 0.8640 0.3106

Output
Space group: R-3
ΔH_f (0 K) (kcal/mol of atoms): -5.021
Crystal system: trigonal
Energy (eV/atom): -4.097

Record 3
Material: Al2Zn3Pd2
Method: DFT, PBE
State: optimized geometry

a b c (Å): 4.7860 4.7860 6.3736
angles (deg): 95.09 95.09 44.78
Element x y z (fractional)
Al1 0.1365 0.1365 0.4202
Al2 0.8635 0.8635 0.5798
Zn1 0.0000 0.0000 0.0000
Zn2 0.2894 0.2894 0.8641
Zn3 0.7106 0.7106 0.1359
Pd1 0.4201 0.4201 0.2921
Pd2 0.5799 0.5799 0.7079

Output
Space group: C2/m
ΔH_f (0 K) (kcal/mol of atoms): -10.779
Crystal system: monoclinic
Energy (eV/atom): -3.566

Record 4
Material: AlZn2Pd8
Method: DFT, PBE
State: optimized geometry

a b c (Å): 7.1956 7.1956 6.0836
angles (deg): 105.30 105.30 32.85
Element x y z (fractional)
Al1 0.0000 0.0000 0.0000
Zn1 0.2790 0.2790 0.3500
Zn2 0.7210 0.7210 0.6500
Pd1 0.0973 0.0973 0.4555
Pd2 0.1761 0.1761 0.9216
Pd3 0.3532 0.3532 0.7988
Pd4 0.4589 0.4589 0.2637
Pd5 0.5411 0.5411 0.7363
Pd6 0.6468 0.6468 0.2012
Pd7 0.8239 0.8239 0.0784
Pd8 0.9027 0.9027 0.5445

Output
Space group: C2/m
ΔH_f (0 K) (kcal/mol of atoms): -10.460
Energy relative to the lowest polymorph listed for this composition (meV/atom): 0.0
Crystal system: monoclinic
Energy (eV/atom): -4.802

Record 5
Material: AlZn2Pd3
Method: DFT, PBE
State: optimized geometry

a b c (Å): 4.3354 4.3354 5.3248
angles (deg): 90.00 90.00 120.00
Element x y z (fractional)
Al1 0.0000 0.0000 0.0000
Zn1 0.3333 0.6667 0.6593
Zn2 0.6667 0.3333 0.3407
Pd1 0.0000 0.0000 0.5000
Pd2 0.3333 0.6667 0.1577
Pd3 0.6667 0.3333 0.8423

Output
Space group: P-3m1
ΔH_f (0 K) (kcal/mol of atoms): -15.341
Energy relative to the lowest polymorph listed for this composition (meV/atom): 5.6
Crystal system: trigonal
Energy (eV/atom): -4.310

Record 6
Material: Al3ZnPd12
Method: DFT, PBE
State: optimized geometry

a b c (Å): 3.9171 3.9171 15.5538
angles (deg): 90.00 90.00 90.00
Element x y z (fractional)
Al1 0.0000 0.0000 0.0000
Al2 0.0000 0.0000 0.2510
Al3 0.0000 0.0000 0.7490
Zn1 0.0000 0.0000 0.5000
Pd1 0.0000 0.5000 0.1248
Pd2 0.0000 0.5000 0.3732
Pd3 0.0000 0.5000 0.6268
Pd4 0.0000 0.5000 0.8752
Pd5 0.5000 0.0000 0.1248
Pd6 0.5000 0.0000 0.3732
Pd7 0.5000 0.0000 0.6268
Pd8 0.5000 0.0000 0.8752
Pd9 0.5000 0.5000 0.0000
Pd10 0.5000 0.5000 0.2489
Pd11 0.5000 0.5000 0.5000
Pd12 0.5000 0.5000 0.7511

Output
Space group: P4/mmm
ΔH_f (0 K) (kcal/mol of atoms): -12.135
Crystal system: tetragonal
Energy (eV/atom): -5.202

Record 7
Material: AlZnPd14
Method: DFT, PBE
State: optimized geometry

a b c (Å): 5.6084 5.6084 7.7095
angles (deg): 90.00 90.00 90.00
Element x y z (fractional)
Al1 0.0000 0.0000 0.0000
Zn1 0.5000 0.5000 0.0000
Pd1 0.0000 0.0000 0.5000
Pd2 0.0000 0.5000 0.0000
Pd3 0.0000 0.5000 0.5000
Pd4 0.2486 0.2486 0.2423
Pd5 0.2486 0.2486 0.7577
Pd6 0.2486 0.7514 0.2423
Pd7 0.2486 0.7514 0.7577
Pd8 0.5000 0.0000 0.0000
Pd9 0.5000 0.0000 0.5000
Pd10 0.5000 0.5000 0.5000
Pd11 0.7514 0.2486 0.2423
Pd12 0.7514 0.2486 0.7577
Pd13 0.7514 0.7514 0.2423
Pd14 0.7514 0.7514 0.7577

Output
Space group: P4/mmm
ΔH_f (0 K) (kcal/mol of atoms): -5.410
Crystal system: tetragonal
Energy (eV/atom): -5.092

Record 8
Material: Al4ZnPd2
Method: DFT, PBE
State: optimized geometry

a b c (Å): 4.0881 4.0881 6.6700
angles (deg): 90.00 90.00 90.00
Element x y z (fractional)
Al1 0.0000 0.5000 0.2286
Al2 0.0000 0.5000 0.7714
Al3 0.5000 0.0000 0.2286
Al4 0.5000 0.0000 0.7714
Zn1 0.0000 0.0000 0.5000
Pd1 0.0000 0.0000 0.0000
Pd2 0.5000 0.5000 0.5000

Output
Space group: P4/mmm
ΔH_f (0 K) (kcal/mol of atoms): -11.488
Crystal system: tetragonal
Energy (eV/atom): -4.302

no.,total magnetization (μB/f.u.)
1,0.000
2,0.000
3,0.000
4,0.000
5,0.000
6,0.001
7,0.002
8,0.000